1.
A relaxed BaIrCl2 crystal. Source: Alexandria via LeMat-Bulk, functional GGA-PBE.

```
4
Lattice="-2.001 2.839 4.277 2.001 -2.839 4.277 2.001 2.839 -4.277" Properties=species:S:1:pos:R:3 pbc="T T T"
Ba 0.000 0.000 0.000
Ir 0.000 0.000 4.277
Cl 2.001 0.000 2.715
Cl 0.000 2.839 1.562
```

Results
symmetry: No. 71
DOS(E_F): 0.46 states/eV/cell
E_form (uncorrected): -0.71 eV/atom

***

2.
A relaxed SrPb2Au crystal. Source: Alexandria via LeMat-Bulk, functional GGA-PBE.

```
8
Lattice="-2.577 2.577 8.697 2.577 -2.577 8.697 2.577 2.577 -8.697" Properties=species:S:1:pos:R:3 pbc="T T T"
Sr 0.000 0.000 2.420
Sr 0.000 0.000 14.975
Pb 2.577 0.000 0.000
Pb 0.000 0.000 6.111
Pb 0.000 2.577 0.000
Pb 0.000 0.000 11.284
Au 2.577 0.000 4.349
Au 0.000 2.577 4.349
```

Results
symmetry: No. 139
DOS(E_F): 3.89 states/eV/cell
formation energy: -418 meV per atom

***

3.
A relaxed UBi2Pt crystal. Source: Alexandria via LeMat-Bulk, functional GGA-PBE.

```
4
Lattice="1.721 0.993 10.567 -1.721 0.993 10.567 0.000 -1.987 10.567" Properties=species:S:1:pos:R:3 pbc="T T T"
U 0.000 0.000 0.000
Bi 0.000 0.000 3.257
Bi 0.000 0.000 28.444
Pt 0.000 0.000 15.851
```

Results
symmetry: No. 166
DOS(E_F): 6.62 states/eV/cell
formation energy: 338 meV per atom

***

4.
A relaxed AgPd7Au3 crystal. Source: Alexandria via LeMat-Bulk, functional GGA-PBE.

```
11
Lattice="5.612 0.000 0.000 -2.806 4.861 0.000 0.000 0.000 6.950" Properties=species:S:1:pos:R:3 pbc="T T T"
Ag 0.000 0.000 0.000
Pd 0.000 3.240 4.687
Pd 1.423 0.822 4.653
Pd 2.806 0.012 0.015
Pd 1.414 2.424 0.015
Pd 4.190 0.822 4.653
Pd 2.806 3.217 4.653
Pd 4.199 2.424 0.015
Au 0.000 1.624 2.353
Au -1.399 4.048 2.353
Au 1.399 4.048 2.353
```

Results
symmetry: No. 156
DOS(E_F): 13.23 states/eV/cell
formation energy: 49 meV per atom

***

5.
A relaxed Cd2In3SnHg6 crystal. Source: Alexandria via LeMat-Bulk, functional GGA-PBE.

```
12
Lattice="2.983 -7.056 0.000 2.983 7.056 0.000 -2.063 0.000 7.571" Properties=species:S:1:pos:R:3 pbc="T T T"
Cd 2.983 4.676 0.000
Cd 2.983 -4.676 0.000
In 1.952 4.697 3.785
In 1.952 0.000 3.785
In 1.952 -4.697 3.785
Sn 2.983 0.000 0.000
Hg -1.548 0.000 5.730
Hg 2.442 2.358 1.865
Hg 1.461 2.358 5.705
Hg 2.442 -2.358 1.865
Hg 1.461 -2.358 5.705
Hg 5.451 0.000 1.841
```

Results
symmetry: No. 12
DOS(E_F): 5.57 states/eV/cell
formation energy: 31 meV per atom

***

6.
A relaxed Nb6Ga3P crystal. Source: Alexandria via LeMat-Bulk, functional GGA-PBE.

```
20
Lattice="5.014 0.000 0.000 0.000 7.667 0.000 -4.881 0.000 9.078" Properties=species:S:1:pos:R:3 pbc="T T T"
Nb -2.118 1.267 3.983
Nb -4.559 2.567 8.522
Nb -0.243 5.205 3.950
Nb -2.684 6.294 8.489
Nb 0.772 0.443 2.334
Nb -1.669 3.391 6.873
Nb 1.802 4.276 2.205
Nb -0.639 7.224 6.744
Nb 2.816 1.372 0.589
Nb 0.376 2.461 5.127
Nb 4.691 5.100 0.556
Nb 2.251 6.400 5.095
Ga 0.000 0.000 0.000
Ga -2.441 3.833 4.539
Ga -3.014 0.920 6.889
Ga -0.574 2.913 2.350
Ga 0.706 4.753 6.728
Ga 3.147 6.746 2.189
P 0.066 0.000 4.539
P 2.507 3.833 0.000
```

Results
symmetry: No. 14
DOS(E_F): 10.80 states/eV/cell
formation energy: -225 meV per atom

***

7.
A relaxed MnCdCu2 crystal. Source: Alexandria via LeMat-Bulk, functional GGA-PBE.

```
4
Lattice="4.369 -1.412 0.000 4.369 1.412 0.000 -0.874 0.000 4.874" Properties=species:S:1:pos:R:3 pbc="T T T"
Mn 0.000 0.000 0.000
Cd 3.932 0.000 2.437
Cu 1.556 0.000 3.816
Cu 6.308 0.000 1.058
```

Results
symmetry: No. 12
DOS(E_F): 1.96 states/eV/cell
formation energy: 202 meV per atom

***

8.
A relaxed PmNd3Tm6 crystal. Source: Alexandria via LeMat-Bulk, functional GGA-PBE.

```
20
Lattice="12.995 0.000 0.000 0.000 3.523 0.000 -2.547 0.000 14.048" Properties=species:S:1:pos:R:3 pbc="T T T"
Pm -0.033 0.881 3.095
Pm 10.480 2.643 10.953
Nd -0.544 0.881 8.432
Nd 2.292 2.643 13.990
Nd 4.448 0.881 5.645
Nd 6.000 2.643 8.403
Nd 8.156 0.881 0.058
Nd 10.992 2.643 5.617
Tm -0.954 0.881 13.861
Tm 1.440 2.643 5.982
Tm 0.876 2.643 11.048
Tm 3.017 2.643 2.806
Tm 2.904 0.881 8.748
Tm 4.425 2.643 11.366
Tm 6.023 0.881 2.682
Tm 7.544 2.643 5.300
Tm 7.430 0.881 11.243
Tm 9.572 0.881 3.000
Tm 9.007 0.881 8.066
Tm 11.402 2.643 0.187
```

Results
symmetry: No. 11
DOS(E_F): 28.62 states/eV/cell
formation energy: 67 meV per atom

***

9.
A relaxed Ac3InNiCl crystal. Source: Alexandria via LeMat-Bulk, functional GGA-PBE.

```
12
Lattice="8.571 0.000 0.000 0.000 4.338 0.000 -3.774 0.000 10.801" Properties=species:S:1:pos:R:3 pbc="T T T"
Ac -0.944 1.085 3.974
Ac -1.873 1.085 10.381
Ac 1.244 3.254 6.912
Ac 3.553 1.085 3.888
Ac 6.671 3.254 0.420
Ac 5.741 3.254 6.826
In 1.166 3.254 2.244
In 3.632 1.085 8.556
Ni -0.773 1.085 6.858
Ni 5.570 3.254 3.943
Cl 0.091 3.254 9.653
Cl 4.707 1.085 1.148
```

Results
symmetry: No. 11
DOS(E_F): 10.21 states/eV/cell
E_form (uncorrected): -0.63 eV/atom

***

10.
A relaxed Ho2ZrTl crystal. Source: Alexandria via LeMat-Bulk, functional GGA-PBE.

```
4
Lattice="1.740 1.005 10.560 -1.740 1.005 10.560 0.000 -2.009 10.560" Properties=species:S:1:pos:R:3 pbc="T T T"
Ho 0.000 0.000 0.000
Ho 0.000 0.000 5.229
Zr 0.000 0.000 23.742
Tl 0.000 0.000 18.459
```

Results
symmetry: No. 160
DOS(E_F): 4.17 states/eV/cell
formation energy: -79 meV per atom

***

11.
A relaxed Ho8Ge3PSe4 crystal. Source: Alexandria via LeMat-Bulk, functional GGA-PBE.

```
16
Lattice="4.087 2.360 6.716 -4.087 2.360 6.716 0.000 -4.720 6.716" Properties=species:S:1:pos:R:3 pbc="T T T"
Ho 0.000 0.000 4.954
Ho -2.036 -1.176 11.642
Ho 0.000 -2.351 8.506
Ho -2.036 1.176 8.506
Ho 2.036 -1.176 11.642
Ho 0.000 2.351 11.642
Ho 2.036 1.176 8.506
Ho 0.000 0.000 15.194
Ge -4.087 0.000 10.074
Ge -2.044 1.180 3.358
Ge 2.044 1.180 3.358
P 0.000 0.000 10.074
Se 0.000 0.000 0.000
Se -2.044 -1.180 6.716
Se -2.044 1.180 13.432
Se 0.000 2.360 6.716
```

Results
symmetry: No. 166
DOS(E_F): 3.45 states/eV/cell
E_form (uncorrected): -1.48 eV/atom

***

12.
A relaxed Tc2BRuPt crystal. Source: Alexandria via LeMat-Bulk, functional GGA-PBE.

```
5
Lattice="4.672 0.000 0.000 0.000 4.672 0.000 0.000 0.000 3.891" Properties=species:S:1:pos:R:3 pbc="T T T"
Tc 0.000 2.336 0.000
Tc 2.336 0.000 0.000
B 0.000 0.000 1.945
Ru 0.000 0.000 0.000
Pt 2.336 2.336 1.945
```

Results
symmetry: No. 123
DOS(E_F): 5.89 states/eV/cell
formation energy: 1506 meV per atom

***

13.
A relaxed CdMo2Se crystal. Source: Alexandria via LeMat-Bulk, functional GGA-PBE.

```
4
Lattice="1.506 0.869 8.779 -1.506 0.869 8.779 0.000 -1.738 8.779" Properties=species:S:1:pos:R:3 pbc="T T T"
Cd 0.000 0.000 0.000
Mo 0.000 0.000 6.340
Mo 0.000 0.000 19.996
Se 0.000 0.000 13.168
```

Results
symmetry: No. 166
DOS(E_F): 2.67 states/eV/cell
E_form (uncorrected): 0.34 eV/atom

***

14.
A relaxed LaSF2 crystal. Source: Alexandria via LeMat-Bulk, functional GGA-PBE.

```
4
Lattice="0.000 3.163 3.163 3.163 0.000 3.163 3.163 3.163 0.000" Properties=species:S:1:pos:R:3 pbc="T T T"
La 0.000 0.000 0.000
S 3.163 3.163 3.163
F 1.581 1.581 1.581
F 4.744 4.744 4.744
```

Results
symmetry: No. 225
DOS(E_F): 4.08 states/eV/cell
E_form (uncorrected): -2.50 eV/atom

***

15.
A relaxed YMnNbSi2 crystal. Source: Alexandria via LeMat-Bulk, functional GGA-PBE.

```
5
Lattice="-1.973 1.973 5.619 1.973 -1.973 5.619 1.973 1.973 -5.619" Properties=species:S:1:pos:R:3 pbc="T T T"
Y 0.000 0.000 0.000
Mn 0.000 1.973 2.810
Nb 1.973 0.000 2.810
Si 0.000 0.000 4.415
Si 0.000 0.000 6.824
```

Results
symmetry: No. 119
DOS(E_F): 3.61 states/eV/cell
E_form (uncorrected): -0.57 eV/atom

***

16.
A relaxed KCr2SnAs crystal. Source: Alexandria via LeMat-Bulk, functional GGA-PBE.

```
5
Lattice="4.973 0.000 0.000 0.000 4.973 0.000 0.000 0.000 5.825" Properties=species:S:1:pos:R:3 pbc="T T T"
K 0.000 0.000 0.000
Cr 0.000 2.487 2.913
Cr 2.487 0.000 2.913
Sn 2.487 2.487 0.000
As 2.487 2.487 2.913
```

Results
symmetry: No. 123
DOS(E_F): 2.25 states/eV/cell
formation energy: 570 meV per atom

***

17.
A relaxed Tb3HoSc3 crystal. Source: Alexandria via LeMat-Bulk, functional GGA-PBE.

```
14
Lattice="9.227 0.000 0.000 -4.613 7.991 0.000 0.000 0.000 5.460" Properties=species:S:1:pos:R:3 pbc="T T T"
Tb -0.693 1.964 1.365
Tb -2.566 7.609 1.365
Tb 1.354 1.582 4.095
Tb 3.259 6.409 1.365
Tb 7.180 0.381 4.095
Tb 5.307 6.027 4.095
Ho 0.000 5.327 1.365
Ho 4.613 2.664 4.095
Sc -1.338 3.848 4.095
Sc -0.611 7.226 4.095
Sc 2.664 3.083 1.365
Sc 1.950 4.907 4.095
Sc 5.225 0.765 1.365
Sc 5.952 4.142 1.365
```

Results
symmetry: No. 176
DOS(E_F): 28.75 states/eV/cell
formation energy: 30 meV per atom

***

18.
A relaxed YTeSe4 crystal. Source: Alexandria via LeMat-Bulk, functional GGA-PBE.

```
6
Lattice="0.000 4.109 4.109 4.109 0.000 4.109 4.109 4.109 0.000" Properties=species:S:1:pos:R:3 pbc="T T T"
Y 0.000 0.000 0.000
Te 2.054 2.054 2.054
Se 5.148 3.069 3.069
Se 3.069 5.148 3.069
Se 3.069 3.069 5.148
Se 5.148 5.148 5.148
```

Results
symmetry: No. 216
DOS(E_F): 6.39 states/eV/cell
E_form (uncorrected): -0.07 eV/atom